The following is a DFT calculation (GGA-PBE) of crystalline Dy2BeGa3Pt4 at its relaxed geometry.

The energy is -5.518 eV/atom.

The structure belongs to space group P-4m2 (No. 115); the cell edges are 4.080, 4.080 and 10.804 Å and the angles 90.00°, 90.00° and 90.00°. The inequivalent atoms are Dy at (0.000, 0.500, 0.239), Be at (0.500, 0.500, 0.000), Ga at (0.000, 0.000, 0.000), Ga at (0.000, 0.500, 0.640), Pt at (0.000, 0.000, 0.500), Pt at (0.000, 0.500, 0.869) and Pt at (0.500, 0.500, 0.500).